No. 1
Nd3Y2Ag2: relaxed, PBE.

DFT formation energy, eV per formula unit: 0.35
Total magnetic moment, μB per formula unit: 0.00
Theoretical density, Mg/m³: 6.82

Cell: 4.870 23.611 3.499 Å, 90.00 90.00 90.00°
Space group Cmmm (No. 65)
Asymmetric unit:
Nd 0.000 0.000 0.000
Nd 0.000 0.138 0.000
Y 0.000 0.292 0.500
Ag 0.000 0.430 0.500



No. 2
Rb2DyAg2Br6: relaxed, PBE.

Raw formation energy, eV per atom: -1.237
Total magnetic moment, μB per formula unit: 0.94
Theoretical density, Mg/m³: 4.02

Cell: 13.501 8.271 8.804 Å, 90.00 120.29 90.00°
Space group C2/m (No. 12)
Asymmetric unit:
Rb 0.215 0.000 0.162
Dy 0.000 0.000 0.500
Ag 0.051 0.500 0.179
Br 0.064 0.234 0.768
Br 0.224 0.000 0.558



No. 3
Li2TbMg2: relaxed, PBE.

DFT formation energy, eV per formula unit: 0.38
Total magnetic moment, μB per formula unit: 0.31
Theoretical density, Mg/m³: 3.00

Cell: 4.100 4.100 14.580 Å, 90.00 90.00 90.00°
Space group I4/mmm (No. 139)
Asymmetric unit:
Li 0.000 0.500 0.250
Tb 0.000 0.000 0.000
Mg 0.000 0.000 0.395



No. 4
MgMoRu2: relaxed, PBE.

DFT formation energy, eV per formula unit: -0.27
Total magnetic moment, μB per formula unit: 0.00
Theoretical density, Mg/m³: 8.86

Cell: 3.096 3.096 6.302 Å, 90.00 90.00 90.00°
Space group P4/mmm (No. 123)
Asymmetric unit:
Mg 0.000 0.000 0.000
Mo 0.000 0.000 0.500
Ru 0.500 0.500 0.262



No. 5
Ho8InPb5: relaxed, PBE.

DFT formation energy, eV per formula unit: -6.72
Total magnetic moment, μB per formula unit: 0.00
Theoretical density, Mg/m³: 10.03

Cell: 9.354 9.354 9.349 Å, 90.00 90.00 90.00°
Space group I-4 (No. 82)
Asymmetric unit:
Ho 0.069 0.320 0.054
Ho 0.071 0.179 0.697
In 0.000 0.000 0.000
Pb 0.000 0.500 0.750
Pb 0.125 0.249 0.375



No. 6
KLi2Zn: relaxed, PBE.

DFT formation energy, eV per formula unit: 0.78
Total magnetic moment, μB per formula unit: 0.00
Theoretical density, Mg/m³: 1.78

Cell: 4.901 4.901 9.177 Å, 90.00 90.00 90.00°
Space group I-4m2 (No. 119)
Asymmetric unit:
K 0.000 0.000 0.000
Li 0.000 0.000 0.500
Li 0.000 0.500 0.750
Zn 0.000 0.500 0.250



No. 7
CsYAg2Br6: relaxed, PBE.

Raw formation energy, eV per atom: -1.222
Total magnetic moment, μB per formula unit: 0.00
Theoretical density, Mg/m³: 4.10

Cell: 7.8820 7.8820 20.7060 Å, 90.00 90.00 120.00°
Space group R3 (No. 146, hexagonal axes)
Asymmetric unit:
Cs 0.0000 0.0000 0.0000
Y 0.0000 0.0000 0.5031
Ag 0.0000 0.0000 0.3015
Ag 0.0000 0.0000 0.7539
Br 0.0373 0.4270 0.0764
Br 0.0530 0.7140 0.2348



No. 8
HoNp2In9: relaxed, PBE.

DFT formation energy, eV per formula unit: -1.66
Total magnetic moment, μB per formula unit: 8.60
Theoretical density, Mg/m³: 9.29

Cell: 4.632 4.632 13.937 Å, 90.00 90.00 90.00°
Space group P4/mmm (No. 123)
Asymmetric unit:
Ho 0.000 0.000 0.000
Np 0.000 0.000 0.332
In 0.000 0.500 0.166
In 0.000 0.500 0.500
In 0.500 0.500 0.000
In 0.500 0.500 0.334



No. 9
SrCd4Ag: relaxed, PBE.

DFT formation energy, eV per formula unit: 0.87
Total magnetic moment, μB per formula unit: 0.00
Theoretical density, Mg/m³: 4.96

Cell: 5.198 5.198 7.991 Å, 90.00 90.00 90.00°
Space group P4/mmm (No. 123)
Asymmetric unit:
Sr 0.000 0.000 0.000
Cd 0.000 0.500 0.500
Cd 0.500 0.500 0.169
Ag 0.500 0.500 0.500



No. 10
DyEr3Ga3: relaxed, PBE.

DFT formation energy, eV per formula unit: -2.99
Total magnetic moment, μB per formula unit: 0.00
Theoretical density, Mg/m³: 8.58

Cell: 9.0432 9.0432 4.7718 Å, 90.00 90.00 120.00°
Space group P6_3/m (No. 176)
Asymmetric unit:
Dy 0.3333 0.6667 0.2500
Er 0.0139 0.7613 0.7500
Ga 0.0590 0.4498 0.7500



No. 11
PrHf2N: relaxed, PBE.

Raw formation energy, eV per atom: -0.632
Total magnetic moment, μB per formula unit: 0.00
Theoretical density, Mg/m³: 10.40

Cell: 3.2545 3.2545 26.7276 Å, 90.00 90.00 120.00°
Space group R-3m (No. 166, hexagonal axes)
Asymmetric unit:
Pr 0.0000 0.0000 0.0000
Hf 0.0000 0.0000 0.1210
N 0.0000 0.0000 0.5000



No. 12
YNbCuIr2: relaxed, PBE.

DFT formation energy, eV per formula unit: 8.60
Total magnetic moment, μB per formula unit: 0.00
Theoretical density, Mg/m³: 9.44

Cell: 4.894 4.894 4.628 Å, 90.00 90.00 90.00°
Space group P4/mmm (No. 123)
Asymmetric unit:
Y 0.000 0.000 0.000
Nb 0.500 0.500 0.500
Cu 0.000 0.000 0.500
Ir 0.000 0.500 0.000



No. 13
Er5TlTe2: relaxed, PBE.

Raw formation energy, eV per atom: -0.474
Total magnetic moment, μB per formula unit: 0.00
Theoretical density, Mg/m³: 8.74

Cell: 5.998 12.226 13.423 Å, 90.00 90.00 90.00°
Space group Cmcm (No. 63)
Asymmetric unit:
Er 0.000 0.060 0.112
Er 0.000 0.383 0.053
Er 0.000 0.385 0.750
Tl 0.000 0.266 0.250
Te 0.000 0.189 0.594



No. 14
KLi2CuF4: relaxed, PBE.

Raw formation energy, eV per atom: -2.241
Total magnetic moment, μB per formula unit: 0.11
Theoretical density, Mg/m³: 3.08

Cell: 3.202 11.175 11.597 Å, 90.00 90.00 90.00°
Space group Cmcm (No. 63)
Asymmetric unit:
K 0.000 0.123 0.250
Li 0.000 0.370 0.028
Cu 0.000 0.158 0.750
F 0.000 0.000 0.000
F 0.000 0.247 0.597
F 0.000 0.456 0.250



No. 15
Ba2AlBr: relaxed, PBE.

Raw formation energy, eV per atom: -0.808
Total magnetic moment, μB per formula unit: 0.00
Theoretical density, Mg/m³: 4.33

Cell: 3.999 4.010 9.130 Å, 90.00 90.46 90.00°
Space group P2/m (No. 10)
Asymmetric unit:
Ba 0.005 0.000 0.235
Al 0.500 0.500 0.000
Br 0.500 0.500 0.500



No. 16
Y5In2O: relaxed, PBE.

Raw formation energy, eV per atom: -0.955
Total magnetic moment, μB per formula unit: 0.00
Theoretical density, Mg/m³: 5.58

Cell: 8.688 6.676 14.167 Å, 90.00 90.00 90.00°
Space group Pnma (No. 62)
Asymmetric unit:
Y 0.000 0.000 0.000
Y 0.049 0.250 0.207
Y 0.135 0.503 0.605
Y 0.225 0.750 0.380
In 0.060 0.750 0.192
In 0.202 0.250 0.409
O 0.182 0.250 0.051



No. 17
Nd3DyIn2: relaxed, PBE.

DFT formation energy, eV per formula unit: -0.97
Total magnetic moment, μB per formula unit: 0.00
Theoretical density, Mg/m³: 7.39

Cell: 3.498 4.598 11.516 Å, 90.00 90.00 90.00°
Space group Pmm2 (No. 25)
Asymmetric unit:
Nd 0.000 0.000 0.000
Nd 0.000 0.000 0.283
Nd 0.000 0.500 0.773
Dy 0.000 0.500 0.498
In 0.500 0.000 0.622
In 0.500 0.500 0.141



No. 18
AcNi2C: relaxed, PBE.

DFT formation energy, eV per formula unit: 1.27
Total magnetic moment, μB per formula unit: 0.00
Theoretical density, Mg/m³: 9.65

Cell: 3.6800 3.6800 15.6834 Å, 90.00 90.00 120.00°
Space group R-3m (No. 166, hexagonal axes)
Asymmetric unit:
Ac 0.0000 0.0000 0.0000
Ni 0.0000 0.0000 0.1971
C 0.0000 0.0000 0.5000



No. 19
ScW2Se: relaxed, PBE.

Raw formation energy, eV per atom: 0.502
Total magnetic moment, μB per formula unit: 0.00
Theoretical density, Mg/m³: 11.85

Cell: 3.456 3.456 5.768 Å, 90.00 90.00 90.00°
Space group P4/mmm (No. 123)
Asymmetric unit:
Sc 0.000 0.000 0.000
W 0.500 0.500 0.270
Se 0.000 0.000 0.500



No. 20
ErMnReSi2: relaxed, PBE.

Raw formation energy, eV per atom: -0.567
Total magnetic moment, μB per formula unit: 2.58
Theoretical density, Mg/m³: 9.38

Cell: 3.971 3.971 10.425 Å, 90.00 90.00 90.00°
Space group I-4m2 (No. 119)
Asymmetric unit:
Er 0.000 0.000 0.000
Mn 0.000 0.500 0.750
Re 0.000 0.500 0.250
Si 0.000 0.000 0.384